(1)
Below is a relaxed structure of LaSc3, with properties calculated at the PBE level. Values from VASP.

Quantum ESPRESSO input file:
```
&SYSTEM
  ibrav = 0, nat = 4, ntyp = 2
/
ATOMIC_SPECIES
Sc 44.96 Sc.upf
La 138.91 La.upf
ATOMIC_POSITIONS crystal
Sc 0.5000 0.0000 0.5020
Sc 0.0000 0.5000 0.3424
Sc 0.5000 0.5000 0.8275
La 0.0000 0.0000 0.9948
CELL_PARAMETERS angstrom
3.4575 0.0000 0.0000
0.0000 5.4065 0.0000
0.0000 0.0000 5.8559
```

## Properties
- E_form (kJ/mol of formula units) = 31
- M_tot (μB per cell) = 0.05


(2)
Below is a relaxed structure of LaSc, with properties calculated at the PBE level. Values from VASP.

Quantum ESPRESSO input file:
```
&SYSTEM
  ibrav = 0, nat = 4, ntyp = 2
/
ATOMIC_SPECIES
Sc 44.96 Sc.upf
La 138.91 La.upf
ATOMIC_POSITIONS crystal
Sc 0.0000 0.0000 0.5000
Sc 0.0000 0.0000 0.0000
La 0.6667 0.3333 0.7500
La 0.3333 0.6667 0.2500
CELL_PARAMETERS angstrom
3.5157 0.0000 0.0000
-1.7578 3.0447 0.0000
0.0000 0.0000 11.2885
```

## Properties
- E_form (kJ/mol of formula units) = 24
- M_tot (μB per cell) = 0.00


no.,volume (Å³/atom)
1,27.4
2,30.2